Material: AcMg3Hg2
Method: DFT, PBE
State: optimized geometry Values from VASP.

Geometry as Quantum ESPRESSO input:
```
&SYSTEM
  ibrav = 0, nat = 12, ntyp = 3
/
ATOMIC_SPECIES
Ac 227.00 Ac.upf
Mg 24.30 Mg.upf
Hg 200.59 Hg.upf
CELL_PARAMETERS angstrom
4.6666 0.0000 0.0000
-2.3333 8.7099 0.0579
0.0000 -3.8807 7.7723
ATOMIC_POSITIONS angstrom
Ac 2.3333 2.5254 7.3268
Ac 0.0000 2.3038 0.5034
Mg 0.0000 3.3211 4.2644
Mg 2.3333 5.4989 4.8526
Mg 2.3333 -0.9689 5.3590
Mg 0.0000 5.7981 2.4712
Mg 0.0000 -0.6697 2.9777
Mg 2.3333 1.5082 3.5658
Hg 0.0000 5.1202 6.4306
Hg 2.3333 -0.2909 1.3996
Hg 2.3333 4.1111 2.2455
Hg 0.0000 0.7182 5.5847
```

Summary:
electronic total energy = -1.8916 eV/atom
formation energy = -0.309 eV/atom
symmetry = C2/m
volume = 26.41 Å³/atom
excess energy over the best structure of this formula in the dataset = 7 meV per atom